! GGA+U CsFeI2O, optimized geometry; values from VASP
! V: 153.6 Å³ per cell
! N(E_F): 0.93 states/eV/f.u.
! spin magnetization: 0.998 μB/atom
! E: -3.707 eV/atom
! energy above the most stable polymorph in this dataset: 0 meV per atom
! calculated density: 5.0 Mg/m³
&SYSTEM
  ibrav = 0, nat = 5, ntyp = 4
/
ATOMIC_SPECIES
Cs 132.91 Cs.upf
I 126.90 I.upf
Fe 55.84 Fe.upf
O 16.00 O.upf
ATOMIC_POSITIONS angstrom
Cs 3.187 3.187 1.891
I 0.000 3.187 0.000
I 3.187 0.000 0.000
Fe 0.000 0.000 0.000
O 0.000 0.000 1.891
CELL_PARAMETERS angstrom
6.374 0.000 0.000
0.000 6.374 0.000
0.000 0.000 3.781